(1)
Here is crystalline Fe2Pt9Rh at its relaxed geometry from Alexandria. Energies are from PBE-GGA.

Lattice parameters (Å, degrees): 3.9232 3.9232 11.7707 90.00 90.00 90.00
Space group P4/mmm (No. 123)
Symmetry-distinct sites (fractional):
Fe: 0.0000 0.0000 0.1685 (multiplicity 2)
Pt: 0.0000 0.5000 0.0000 (multiplicity 2)
Pt: 0.0000 0.5000 0.3288 (multiplicity 4)
Pt: 0.5000 0.5000 0.1642 (multiplicity 2)
Pt: 0.5000 0.5000 0.5000 (multiplicity 1)
Rh: 0.0000 0.0000 0.5000 (multiplicity 1)

## Properties
Its total energy is -0.246 Ha/atom. The value obtained for the size of the total moment is 9.1 μB per formula unit. For the volume, the calculation gives 15.1 Å³/atom.


(2)
Here is crystalline DyThScIn at its relaxed geometry from Alexandria. Energies are from PBE-GGA.

Lattice parameters (Å, degrees): 7.6302 7.6302 7.6302 90.00 90.00 90.00
Space group F-43m (No. 216)
Symmetry-distinct sites (fractional):
Dy: 0.0000 0.0000 0.0000 (multiplicity 4)
Th: 0.0000 0.0000 0.5000 (multiplicity 4)
Sc: 0.2500 0.2500 0.2500 (multiplicity 4)
In: 0.2500 0.2500 0.7500 (multiplicity 4)

## Properties
Its total energy is -0.197 Ha/atom. The value obtained for the size of the total moment is 0.0 μB per formula unit. For the volume, the calculation gives 27.8 Å³/atom.


(3)
Here is crystalline La4Sm2Dy at its relaxed geometry from Alexandria. Energies are from PBE-GGA.

Lattice parameters (Å, degrees): 6.3690 8.2016 9.7580 89.97 89.82 75.33
Space group P1 (No. 1)
Symmetry-distinct sites (fractional):
La: 0.0000 0.0000 0.0000 (multiplicity 1)
La: 0.0026 0.5019 0.5016 (multiplicity 1)
La: 0.1438 0.5757 0.1422 (multiplicity 1)
La: 0.2888 0.6466 0.7871 (multiplicity 1)
La: 0.4289 0.2144 0.9272 (multiplicity 1)
La: 0.4322 0.7179 0.4297 (multiplicity 1)
La: 0.5736 0.2853 0.5706 (multiplicity 1)
La: 0.7140 0.3587 0.2132 (multiplicity 1)
Sm: 0.2874 0.1418 0.2865 (multiplicity 1)
Sm: 0.7162 0.8601 0.7157 (multiplicity 1)
Sm: 0.8577 0.4309 0.8566 (multiplicity 1)
Sm: 0.8589 0.9318 0.3583 (multiplicity 1)
Dy: 0.1432 0.0722 0.6419 (multiplicity 1)
Dy: 0.5747 0.7889 0.0726 (multiplicity 1)

## Properties
Its total energy is -0.176 Ha/atom. The value obtained for the size of the total moment is 0.0 μB per formula unit. For the volume, the calculation gives 35.2 Å³/atom.